# 1
{"formula": "K2TeS", "functional": "PBE-GGA", "state": "relaxed", "cell": [[-1.2766, -3.2332, -0.7778], [2.4403, -1.4768, 2.1336], [-6.0697, 0.6229, 7.3731]], "species": ["K", "K", "Te", "S"], "frac_coords": [[0.0000, 0.0000, 0.2027], [0.0000, 0.0000, 0.7973], [0.5000, 0.5000, 0.5000], [0.5000, 0.5000, 0.0000]], "e_form_raw_ev_per_atom": -0.68, "de_polymorph_mev_per_atom": 8, "sg": "P4/mmm", "m_tot_mub_per_fu": 0.511, "total_energy_ev_per_cell": -12.174}

***

# 2
{"formula": "Rb2SbP2", "functional": "PBE-GGA", "state": "relaxed", "cell": [[3.5017, 0.0000, 0.0000], [0.0000, 3.5017, 0.0000], [1.7509, 1.7509, 11.6184]], "species": ["P", "P", "Sb", "Rb", "Rb"], "frac_coords": [[0.7500, 0.2500, 0.5000], [0.2500, 0.7500, 0.5000], [0.0000, 0.0000, 0.0000], [0.6199, 0.6199, 0.7603], [0.3801, 0.3801, 0.2397]], "e_form_raw_ev_per_atom": -0.09, "de_polymorph_mev_per_atom": 108, "sg": "I4/mmm", "m_tot_mub_per_fu": 0.000, "total_energy_ev_per_cell": -17.319}

***

# 3
{"formula": "LaScTl2", "functional": "PBE-GGA", "state": "relaxed", "cell": [[3.4508, -0.0236, 0.0000], [-1.3516, 3.1751, 0.0000], [0.0000, 0.0000, 10.6839]], "species": ["Sc", "La", "Tl", "Tl"], "frac_coords": [[0.5000, 0.5000, 0.7642], [0.0000, 0.0000, 0.5058], [0.5000, 0.5000, 0.2360], [0.0000, 0.0000, 0.9940]], "formation_energy_ev_per_atom": -0.008, "sg": "Cmm2", "m_tot_mub_per_fu": 0.004, "total_energy_ev_per_cell": -16.022}

***

# 4
{"formula": "HfAuI6", "functional": "PBE-GGA", "state": "relaxed", "cell": [[-0.6047, 2.9916, -5.8440], [-6.1091, -3.9626, -5.8261], [-8.0308, 2.0402, -1.4807]], "species": ["I", "I", "I", "I", "I", "I", "Au", "Hf"], "frac_coords": [[0.3888, 0.8252, 0.8493], [0.1930, 0.8490, 0.3579], [0.8742, 0.6528, 0.2076], [0.6112, 0.1748, 0.1507], [0.1258, 0.3472, 0.7924], [0.8070, 0.1510, 0.6421], [0.5000, 0.5000, 0.5000], [0.0000, 0.0000, 0.0000]], "e_form_raw_ev_per_atom": -0.50, "de_polymorph_mev_per_atom": 13, "sg": "P-1", "m_tot_mub_per_fu": 0.000, "total_energy_ev_per_cell": -26.515}

***

# 5
{"formula": "ErNiPtAu", "functional": "PBE-GGA", "state": "relaxed", "cell": [[4.6245, 0.0000, 0.0000], [2.3123, 4.0050, 0.0000], [2.3123, 1.3350, 3.7759]], "species": ["Au", "Ni", "Pt", "Er"], "frac_coords": [[0.5000, 0.5000, 0.5000], [0.2500, 0.2500, 0.2500], [0.7500, 0.7500, 0.7500], [0.0000, 0.0000, 0.0000]], "formation_energy_ev_per_atom": -0.570, "sg": "F-43m", "m_tot_mub_per_fu": 0.000, "total_energy_ev_per_cell": -21.941}

***

# 6
{"formula": "Pm2Er2Au3", "functional": "PBE-GGA", "state": "relaxed", "cell": [[7.3572, 0.0000, -2.6012], [-3.6786, 6.3715, -2.6012], [0.0000, 0.0000, 7.8035]], "species": ["Pm", "Pm", "Pm", "Pm", "Au", "Au", "Au", "Au", "Au", "Au", "Er", "Er", "Er", "Er"], "frac_coords": [[0.5000, 0.3544, 0.5000], [0.8544, 0.5000, 0.0000], [0.0000, 0.0000, 0.3544], [0.6456, 0.1456, 0.1456], [0.7500, 0.6388, 0.3888], [0.3612, 0.1112, 0.7500], [0.1388, 0.3888, 0.2500], [0.6112, 0.7500, 0.8612], [0.2500, 0.8612, 0.1112], [0.8888, 0.2500, 0.6388], [0.1358, 0.6358, 0.6358], [0.5000, 0.8642, 0.5000], [0.0000, 0.0000, 0.8642], [0.3642, 0.5000, 0.0000]], "formation_energy_ev_per_atom": -0.651, "sg": "I2_13", "m_tot_mub_per_fu": 0.002, "total_energy_ev_per_cell": -66.030}

***

# 7
{"formula": "MgCuPd", "functional": "PBE-GGA", "state": "relaxed", "cell": [[2.8185, 0.0000, 0.0000], [0.0000, 4.3161, 0.0000], [0.0000, -2.1580, 3.7378]], "species": ["Cu", "Mg", "Pd"], "frac_coords": [[0.0193, 0.0000, 0.0000], [0.6847, 0.6667, 0.3333], [0.2959, 0.3333, 0.6667]], "formation_energy_ev_per_atom": -0.324, "de_polymorph_mev_per_atom": 74, "sg": "P3m1", "m_tot_mub_per_fu": 0.000, "total_energy_ev_per_cell": -11.857}

***

# 8
{"formula": "Tl2BPb", "functional": "PBE-GGA", "state": "relaxed", "cell": [[-0.8132, -6.5880, 1.8891], [6.2709, -1.4828, -2.4716], [4.6506, -3.0449, 3.9903]], "species": ["B", "B", "Tl", "Tl", "Tl", "Tl", "Pb", "Pb"], "frac_coords": [[0.5000, 0.5000, 0.0000], [0.2500, 0.7500, 0.5000], [0.2458, 0.6250, 0.2500], [0.8750, 0.7542, 0.7500], [0.3750, 0.4958, 0.7500], [0.5042, 0.1250, 0.2500], [0.7500, 0.2500, 0.5000], [0.0000, 0.0000, 0.0000]], "formation_energy_ev_per_atom": 0.768, "de_polymorph_mev_per_atom": 0, "sg": "I-42d", "m_tot_mub_per_fu": 0.000, "total_energy_ev_per_cell": -24.089}

***

# 9
{"formula": "AgHgN3", "functional": "PBE-GGA", "state": "relaxed", "cell": [[4.1503, 0.0000, 0.0000], [0.0000, 4.1503, 0.0000], [0.0000, 0.0000, 4.1503]], "species": ["N", "N", "N", "Hg", "Ag"], "frac_coords": [[0.0000, 0.5000, 0.0000], [0.0000, 0.0000, 0.5000], [0.5000, 0.0000, 0.0000], [0.5000, 0.5000, 0.5000], [0.0000, 0.0000, 0.0000]], "e_form_raw_ev_per_atom": 2.43, "sg": "Pm-3m", "m_tot_mub_per_fu": 3.660, "total_energy_ev_per_cell": -15.965}

***

# 10
{"formula": "In2TeAs", "functional": "PBE-GGA", "state": "relaxed", "cell": [[7.6942, -1.0061, -0.5900], [7.0390, 3.2659, -0.5900], [7.0390, 1.0796, 3.1382]], "species": ["Te", "In", "In", "As"], "frac_coords": [[0.5074, 0.5074, 0.5074], [0.0193, 0.0193, 0.0193], [0.2446, 0.2446, 0.2446], [0.7286, 0.7286, 0.7286]], "e_form_raw_ev_per_atom": 0.00, "de_polymorph_mev_per_atom": 168, "sg": "R3m", "m_tot_mub_per_fu": 0.000, "total_energy_ev_per_cell": -13.257}

***

# 11
{"formula": "LiSc4Al", "functional": "PBE-GGA", "state": "relaxed", "cell": [[0.0000, 4.1216, 4.1216], [4.1216, 0.0000, 4.1216], [4.1216, 4.1216, 0.0000]], "species": ["Sc", "Sc", "Sc", "Sc", "Al", "Li"], "frac_coords": [[0.3764, 0.3764, 0.8709], [0.8709, 0.3764, 0.3764], [0.3764, 0.8709, 0.3764], [0.3764, 0.3764, 0.3764], [0.7500, 0.7500, 0.7500], [0.0000, 0.0000, 0.0000]], "formation_energy_ev_per_atom": 0.286, "sg": "F-43m", "m_tot_mub_per_fu": 0.000, "total_energy_ev_per_cell": -29.265}

***

# 12
{"formula": "PmTh3Zn4", "functional": "PBE-GGA", "state": "relaxed", "cell": [[-0.7056, -0.3119, -3.5728], [-3.2062, -3.9580, 0.9787], [-7.9076, 6.6483, 0.9814]], "species": ["Pm", "Zn", "Zn", "Zn", "Zn", "Th", "Th", "Th"], "frac_coords": [[0.5000, 0.5000, 0.0000], [0.0000, 0.0000, 0.5000], [0.0000, 0.5000, 0.2466], [0.0000, 0.0000, 0.0000], [0.0000, 0.5000, 0.7534], [0.5000, 0.0000, 0.2509], [0.5000, 0.5000, 0.5000], [0.5000, 0.0000, 0.7491]], "formation_energy_ev_per_atom": -0.211, "sg": "Pmmm", "m_tot_mub_per_fu": 0.000, "total_energy_ev_per_cell": -33.792}

***

# 13
{"formula": "KIn2Te", "functional": "PBE-GGA", "state": "relaxed", "cell": [[4.5821, 0.0000, 0.0000], [0.0000, 4.5884, -0.0955], [0.0000, 0.1641, 6.7736]], "species": ["Te", "In", "In", "K"], "frac_coords": [[0.5000, 0.8762, 0.7579], [0.5000, 0.3730, 0.0959], [0.0000, 0.8734, 0.0960], [0.0000, 0.3774, 0.5502]], "e_form_raw_ev_per_atom": -0.38, "sg": "Pm", "m_tot_mub_per_fu": 0.000, "total_energy_ev_per_cell": -11.249}

***

# 14
{"formula": "CaCd2Pt", "functional": "PBE-GGA", "state": "relaxed", "cell": [[-1.9194, -0.0503, -3.1063], [0.0400, -3.6521, 0.0344], [-5.5685, -0.0286, 3.4413]], "species": ["Pt", "Ca", "Cd", "Cd"], "frac_coords": [[0.5000, 0.5000, 0.2500], [0.5000, 0.5000, 0.7500], [0.0000, 0.0000, 0.4628], [0.0000, 0.0000, 0.0372]], "formation_energy_ev_per_atom": -0.350, "sg": "P4/mmm", "m_tot_mub_per_fu": 0.000, "total_energy_ev_per_cell": -11.274}

***

# 15
{"formula": "Li3BeAu", "functional": "PBE-GGA", "state": "relaxed", "cell": [[-1.2343, 2.4400, 3.4277], [0.6865, -3.4075, 2.6728], [4.1511, 1.2890, 0.5772]], "species": ["Li", "Li", "Li", "Au", "Be"], "frac_coords": [[0.5000, 0.0000, 0.0000], [0.0000, 0.0000, 0.5000], [0.0000, 0.5000, 0.0000], [0.5000, 0.5000, 0.5000], [0.0000, 0.0000, 0.0000]], "formation_energy_ev_per_atom": 0.383, "de_polymorph_mev_per_atom": 15, "sg": "Pm-3m", "m_tot_mub_per_fu": 0.000, "total_energy_ev_per_cell": -10.832}

***

# 16
{"formula": "NaHf2H", "functional": "PBE-GGA", "state": "relaxed", "cell": [[0.0000, 3.3111, 3.3111], [3.3111, 0.0000, 3.3111], [3.3111, 3.3111, 0.0000]], "species": ["H", "Hf", "Hf", "Na"], "frac_coords": [[0.0000, 0.0000, 0.0000], [0.2500, 0.2500, 0.2500], [0.7500, 0.7500, 0.7500], [0.5000, 0.5000, 0.5000]], "de_polymorph_mev_per_atom": 732, "sg": "Fm-3m", "m_tot_mub_per_fu": 0.000, "total_energy_ev_per_cell": -19.957}

***

# 17
{"formula": "Be2ReBSb", "functional": "PBE-GGA", "state": "relaxed", "cell": [[4.3801, 0.0000, 0.0000], [0.0000, 4.9988, 0.0000], [0.0000, 0.0000, 4.3801]], "species": ["B", "Be", "Be", "Re", "Sb"], "frac_coords": [[0.5000, 0.5000, 0.5000], [0.5000, 0.0000, 0.0000], [0.0000, 0.0000, 0.5000], [0.0000, 0.0000, 0.0000], [0.0000, 0.5000, 0.0000]], "e_form_raw_ev_per_atom": 1.56, "sg": "P4/mmm", "m_tot_mub_per_fu": 0.000, "total_energy_ev_per_cell": -22.896}

***

# 18
{"formula": "TiTeCl3", "functional": "PBE-GGA", "state": "relaxed", "cell": [[-2.6508, -3.0055, 2.8896], [1.6077, -3.8962, -2.5777], [3.8469, -0.4428, 3.0685]], "species": ["Cl", "Cl", "Cl", "Ti", "Te"], "frac_coords": [[0.0000, 0.0000, 0.5000], [0.5000, 0.0000, 0.0000], [0.0000, 0.5000, 0.0000], [0.0000, 0.0000, 0.0000], [0.5000, 0.5000, 0.5000]], "e_form_raw_ev_per_atom": -0.59, "de_polymorph_mev_per_atom": 0, "sg": "Pm-3m", "m_tot_mub_per_fu": 2.050, "total_energy_ev_per_cell": -19.550}

***

# 19
{"formula": "Li2YBr", "functional": "PBE-GGA", "state": "relaxed", "cell": [[6.0544, -0.0082, 0.0000], [-3.3917, 5.0151, 0.0000], [0.0000, 0.0000, 3.5347]], "species": ["Li", "Li", "Br", "Y"], "frac_coords": [[0.5000, 0.5000, 0.0000], [0.0000, 0.0000, 0.0000], [0.0000, 0.5000, 0.5000], [0.5000, 0.0000, 0.5000]], "e_form_raw_ev_per_atom": -0.32, "de_polymorph_mev_per_atom": 211, "sg": "Cmmm", "m_tot_mub_per_fu": 0.001, "total_energy_ev_per_cell": -13.260}

***

# 20
{"formula": "AcTmAlTl", "functional": "PBE-GGA", "state": "relaxed", "cell": [[5.4761, 0.0000, 0.0000], [2.7381, 4.7425, 0.0000], [2.7381, 1.5808, 4.4712]], "species": ["Ac", "Al", "Tm", "Tl"], "frac_coords": [[0.2500, 0.2500, 0.2500], [0.5000, 0.5000, 0.5000], [0.7500, 0.7500, 0.7500], [0.0000, 0.0000, 0.0000]], "formation_energy_ev_per_atom": -0.245, "sg": "F-43m", "m_tot_mub_per_fu": 0.000, "total_energy_ev_per_cell": -15.670}